Density functional theory data (GGA-PBEsol) for an optimized crystal structure of TiGaNF2.

Calculated values
- ΔE_f (raw) (eV/f.u.) = -4.96
- SG = P4/mmm (123)

Geometry as POSCAR:
```
TiGaNF2
1.0
-1.709 3.363 0.469
-0.544 0.258 -3.833
-3.423 -1.791 0.365
N F Ga Ti
1 2 1 1
Cartesian
-0.855 1.681 0.234
-1.712 -0.895 0.183
-0.272 0.129 -1.917
0.000 0.000 0.000
-2.838 0.915 -1.500
```


Density functional theory data (GGA-PBEsol) for an optimized crystal structure of ZrGaNF2.

Calculated values
- ΔE_f (raw) (eV/f.u.) = -5.15
- SG = P4/mmm (123)

Geometry as POSCAR:
```
ZrGaNF2
1.0
-0.159 -2.884 -2.340
3.733 0.770 -1.204
1.418 -2.401 2.863
N Ga Zr F
1 1 1 2
Cartesian
-0.080 -1.442 -1.170
0.000 0.000 0.000
2.496 -2.258 -0.340
0.709 -1.201 1.432
1.866 0.385 -0.602
```


Density functional theory data (GGA-PBEsol) for an optimized crystal structure of Na3GaF.

Calculated values
- ΔE_f (raw) (eV/f.u.) = -4.78
- SG = Pm-3m (221)

Geometry as POSCAR:
```
Na3GaF
1.0
-3.703 -2.814 -0.285
2.530 -3.086 -2.407
1.265 -2.068 3.980
Na Ga F
3 1 1
Cartesian
1.265 -1.543 -1.203
0.632 -1.034 1.990
-1.852 -1.407 -0.142
0.045 -3.983 0.644
0.000 0.000 0.000
```